Entry 1:
Below is an optimized crystal structure of YSb2Se, with properties calculated at the GGA-PBE level.

* raw formation energy: -0.67 eV/atom
* theoretical density: 6.1 g/cm3
* space-group type: I-42d (122)
* spin magnetization: 0.00 μB/atom
* raw total energy: -41.71 eV for the cell shown

a = 4.2231 Å, b = 4.2231 Å, c = 12.8493 Å
α = 80.54°, β = 80.54°, γ = 90.00°
Positions (direct):
Sb  0.1051  0.6250  0.2500
Sb  0.8750  0.8949  0.7500
Sb  0.3750  0.3551  0.7500
Sb  0.6449  0.1250  0.2500
Y  0.7500  0.2500  0.5000
Y  0.0000  0.0000  0.0000
Se  0.5000  0.5000  0.0000
Se  0.2500  0.7500  0.5000



Entry 2:
Below is an optimized crystal structure of Y2SbSe, with properties calculated at the GGA-PBE level.

* raw formation energy: -1.37 eV/atom
* theoretical density: 5.7 g/cm3
* space-group type: R3m (160)
* spin magnetization: 0.09 μB/atom
* raw total energy: -26.02 eV for the cell shown

a = 4.1519 Å, b = 4.1519 Å, c = 7.7838 Å
α = 74.53°, β = 74.53°, γ = 60.00°
Last column: magnetic moment on the atom in μB.
Positions (direct):
Y  0.2510  0.2510  0.2471  0.12
Y  0.0828  0.0828  0.7517  0.04
Se  0.4983  0.4983  0.5050  0.00
Sb  0.6680  0.6680  0.9961  0.00